(1)
# Tm8CS3N3

Tm8CS3N3 after structural relaxation (GGA-PBE, the Alexandria database).

Unit cell a=7.357 b=7.357 c=7.357 alpha=57.82 beta=57.82 gamma=57.82
Element x y z (fractional)
Tm (0.235, 0.739, 0.739)
Tm (0.236, 0.236, 0.236)
Tm (0.261, 0.261, 0.765)
Tm (0.261, 0.765, 0.261)
Tm (0.739, 0.235, 0.739)
Tm (0.739, 0.739, 0.235)
Tm (0.764, 0.764, 0.764)
Tm (0.765, 0.261, 0.261)
C (0.500, 0.500, 0.500)
S (0.000, 0.500, 0.500)
S (0.500, 0.000, 0.500)
S (0.500, 0.500, 0.000)
N (0.000, 0.000, 0.500)
N (0.000, 0.500, 0.000)
N (0.500, 0.000, 0.000)

E_form (uncorrected) in meV per atom: -1608
Electronic total energy in eV for the cell shown: -106.5


(2)
# Tm8C3S3N

Tm8C3S3N after structural relaxation (GGA-PBE, the Alexandria database).

Unit cell a=7.450 b=7.450 c=7.450 alpha=57.98 beta=57.98 gamma=57.98
Element x y z (fractional)
Tm (0.234, 0.739, 0.739)
Tm (0.238, 0.238, 0.238)
Tm (0.261, 0.261, 0.766)
Tm (0.261, 0.766, 0.261)
Tm (0.739, 0.234, 0.739)
Tm (0.739, 0.739, 0.234)
Tm (0.762, 0.762, 0.762)
Tm (0.766, 0.261, 0.261)
C (0.000, 0.000, 0.500)
C (0.000, 0.500, 0.000)
C (0.500, 0.000, 0.000)
S (0.000, 0.500, 0.500)
S (0.500, 0.000, 0.500)
S (0.500, 0.500, 0.000)
N (0.500, 0.500, 0.500)

E_form (uncorrected) in meV per atom: -1295
Electronic total energy in eV for the cell shown: -103.6